1:
4
Lattice="0.000 3.197 3.197 3.197 0.000 3.197 3.197 3.197 0.000" Properties=species:S:1:pos:R:3 comment="PBE Sc2AlC, relaxed" sg="Fm-3m, No. 225" pbc="T T T"
Sc 1.599 1.599 1.599
Sc 4.796 4.796 4.796
Al 0.000 0.000 0.000
C 3.197 3.197 3.197



2:
4
Lattice="1.644 0.949 8.330 -1.644 0.949 8.330 0.000 -1.899 8.330" Properties=species:S:1:pos:R:3 comment="PBE Sc2AlC, relaxed" sg="R-3m, No. 166" pbc="T T T"
Sc 0.000 0.000 2.954
Sc 0.000 0.000 22.037
Al 0.000 0.000 0.000
C 0.000 0.000 12.496



3:
8
Lattice="-3.368 3.368 3.211 3.368 -3.368 3.211 3.368 3.368 -3.211" Properties=species:S:1:pos:R:3 comment="PBE Sc2AlC, relaxed" sg="I-42d, No. 122" pbc="T T T"
Sc 5.051 1.145 -0.803
Sc 1.145 1.684 0.803
Sc -1.684 2.222 2.408
Sc 2.222 1.684 4.014
Al 3.368 0.000 1.606
Al 0.000 0.000 3.211
C 0.000 0.000 0.000
C 0.000 3.368 1.606



4:
8
Lattice="1.740 -5.988 0.000 1.740 5.988 0.000 0.000 0.000 6.085" Properties=species:S:1:pos:R:3 comment="PBE Sc2AlC, relaxed" sg="Cmcm, No. 63" pbc="T T T"
Sc 1.740 4.201 3.046
Sc 1.740 4.201 6.082
Sc 1.740 -4.201 0.003
Sc 1.740 -4.201 3.039
Al 1.740 0.087 1.521
Al 1.740 -0.087 4.564
C 1.740 2.190 1.521
C 1.740 -2.190 4.564



Stability check: which of them is least stable? 1.